{
  "formula": "As2C",
  "functional": "PBE",
  "state": "optimized geometry",
  "lattice": [[5.6792, 0.0000, 0.0000], [-2.8396, 4.9183, 0.0000], [0.0000, 0.0000, 5.7726]],
  "species": ["As", "As", "As", "As", "As", "As", "C", "C", "C"],
  "frac_coords": [[0.0000, 0.3199, 0.0000], [0.0000, 0.6639, 0.5000], [0.3199, 0.0000, 0.0000], [0.3361, 0.3361, 0.5000], [0.6639, 0.0000, 0.5000], [0.6801, 0.6801, 0.0000], [0.0000, 0.0000, 0.5000], [0.3333, 0.6667, 0.0000], [0.6667, 0.3333, 0.0000]],
  "spacegroup": "P-62m (189)",
  "n_ef_per_ev_fu": 1.00,
  "rho_g_cm3": 5.0,
  "energy_ev_per_cell": -45.594,
  "total_magnetization_mub_per_cell": 0.0,
  "polymorph_energy_mev_per_atom": 611,
  "delta_e_f_mev_per_atom": 1108
}